(1)
First-principles (GGA-PBE) data for a relaxed structure of LiThScSe4, as listed in Alexandria via LeMat-Bulk.

a b c (Å): 7.9098 8.1983 8.1983
angles (deg): 63.06 61.16 61.16
Closest atoms and distances in Å follow each position.
Sites, in units of the cell vectors:
1 Li 0.6389 0.6110 0.1110  4 Se 2.63-2.70
2 Li 0.3611 0.3890 0.8890  4 Se 2.63-2.70
3 Th 0.0000 0.0000 0.0000  6 Se 2.90-2.92
4 Th 0.0000 0.5000 0.5000  6 Se 2.90-2.92
5 Sc 0.5000 0.0000 0.5000  6 Se 2.75-2.76
6 Sc 0.0000 0.0000 0.5000  6 Se 2.75-2.76
7 Se 0.7488 0.7791 0.7234  1 Li 2.70, 2 Sc 2.75, 1 Th 2.90
8 Se 0.2512 0.7766 0.7209  1 Li 2.70, 2 Sc 2.75, 1 Th 2.90
9 Se 0.7488 0.2234 0.2791  1 Li 2.70, 2 Sc 2.75, 1 Th 2.90
10 Se 0.2512 0.2209 0.2766  1 Li 2.70, 2 Sc 2.75, 1 Th 2.90
11 Se 0.2387 0.7606 0.2606  1 Li 2.63, 1 Sc 2.76, 2 Th 2.92
12 Se 0.7401 0.7606 0.2606  1 Li 2.63, 1 Sc 2.76, 2 Th 2.92
13 Se 0.2599 0.2394 0.7394  1 Li 2.63, 1 Sc 2.76, 2 Th 2.92
14 Se 0.7613 0.2394 0.7394  1 Li 2.63, 1 Sc 2.76, 2 Th 2.92

Its space-group type is Imma, No. 74. The uncorrected formation energy is -1.6238 eV per atom. As for the calculated total energy: -5.853 eV/atom. Its density of states at the Fermi level is 0.00 states/eV/f.u.



(2)
First-principles (GGA-PBE) data for a relaxed structure of Th4CoNi, as listed in Alexandria via LeMat-Bulk.

a b c (Å): 5.9646 7.0241 7.0241
angles (deg): 90.00 90.00 90.00
Closest atoms and distances in Å follow each position.
Sites, in units of the cell vectors:
1 Th 0.0000 0.1658 0.6730  2 Co 2.98, 2 Ni 3.03
2 Th 0.0000 0.8342 0.3270  2 Co 2.98, 2 Ni 3.03
3 Th 0.0000 0.3270 0.1658  2 Co 2.98, 2 Ni 3.03
4 Th 0.0000 0.6730 0.8342  2 Co 2.98, 2 Ni 3.03
5 Th 0.5000 0.8342 0.6730  2 Co 2.98, 2 Ni 3.03
6 Th 0.5000 0.1658 0.3270  2 Co 2.98, 2 Ni 3.03
7 Th 0.5000 0.6730 0.1658  2 Co 2.98, 2 Ni 3.03
8 Th 0.5000 0.3270 0.8342  2 Co 2.98, 2 Ni 3.03
9 Co 0.2500 0.0000 0.0000  8 Th 2.98, 2 Co 2.98
10 Co 0.7500 0.0000 0.0000  8 Th 2.98, 2 Co 2.98
11 Ni 0.2500 0.5000 0.5000  2 Ni 2.98, 8 Th 3.03
12 Ni 0.7500 0.5000 0.5000  2 Ni 2.98, 8 Th 3.03

Its space-group type is P4/mcc, No. 124. The calculation puts the energy relative to the lowest polymorph listed for this composition at 0 meV per atom. Its formation energy is -1.3 eV per formula unit. As for the calculated total energy: -7.308 eV/atom. Its density of states at the Fermi level is 8.32 states/eV/f.u.